Here is a crystal of LiCu2Ni relaxed with PBEsol from Alexandria. Energies are from meta-GGA SCAN.

Offset from the most stable computed form ... 57 meV/atom
Formation energy from the elements ... 0.053 eV per atom

The structure in CIF format:
```
data_LiCu2Ni
_symmetry_space_group_name_H-M 'P 4 m m'
_symmetry_Int_Tables_number 99
_symmetry_space_group_name_Hall 'P 4 -2'
_cell_length_a 2.472
_cell_length_b 2.472
_cell_length_c 7.428
_cell_angle_alpha 90.00
_cell_angle_beta 90.00
_cell_angle_gamma 90.00
loop_
_atom_site_label
_atom_site_type_symbol
_atom_site_fract_x
_atom_site_fract_y
_atom_site_fract_z
Li1 Li 0.000 0.000 0.000
Cu1 Cu 0.000 0.000 0.486
Cu2 Cu 0.500 0.500 0.730
Ni1 Ni 0.500 0.500 0.251
```

Here is a crystal of MgTaIr2 relaxed with PBEsol from Alexandria. Energies are from meta-GGA SCAN.

Offset from the most stable computed form ... 103 meV/atom
Formation energy from the elements ... -0.680 eV per atom

The structure in CIF format:
```
data_MgTaIr2
_symmetry_space_group_name_H-M 'C m m m'
_symmetry_Int_Tables_number 65
_symmetry_space_group_name_Hall '-C 2 2'
_cell_length_a 5.995
_cell_length_b 6.887
_cell_length_c 2.965
_cell_angle_alpha 90.00
_cell_angle_beta 90.00
_cell_angle_gamma 90.00
loop_
_atom_site_label
_atom_site_type_symbol
_atom_site_fract_x
_atom_site_fract_y
_atom_site_fract_z
Mg1 Mg 0.000 0.000 0.000
Ta1 Ta 0.000 0.500 0.000
Ir1 Ir 0.250 0.250 0.500
```

Here is a crystal of ZrCuN2O relaxed with PBEsol from Alexandria. Energies are from meta-GGA SCAN.

Formation energy from raw total energies ... 0.067 eV/atom

The structure in CIF format:
```
data_ZrCuN2O
_symmetry_space_group_name_H-M 'P 4/m m m'
_symmetry_Int_Tables_number 123
_symmetry_space_group_name_Hall '-P 4 2'
_cell_length_a 4.220
_cell_length_b 4.220
_cell_length_c 4.018
_cell_angle_alpha 90.00
_cell_angle_beta 90.00
_cell_angle_gamma 90.00
loop_
_atom_site_label
_atom_site_type_symbol
_atom_site_fract_x
_atom_site_fract_y
_atom_site_fract_z
Zr1 Zr 0.000 0.000 0.000
Cu1 Cu 0.500 0.500 0.500
N1 N 0.000 0.500 0.000
O1 O 0.000 0.000 0.500
```

Here is a crystal of CaCu4P2 relaxed with PBEsol from Alexandria. Energies are from meta-GGA SCAN.

Formation energy from the elements ... -0.497 eV per atom

The structure in CIF format:
```
data_CaCu4P2
_symmetry_space_group_name_H-M 'P 42/m n m'
_symmetry_Int_Tables_number 136
_symmetry_space_group_name_Hall '-P 4n 2n'
_cell_length_a 7.187
_cell_length_b 7.187
_cell_length_c 3.739
_cell_angle_alpha 90.00
_cell_angle_beta 90.00
_cell_angle_gamma 90.00
loop_
_atom_site_label
_atom_site_type_symbol
_atom_site_fract_x
_atom_site_fract_y
_atom_site_fract_z
Ca1 Ca 0.000 0.000 0.000
Cu1 Cu 0.084 0.336 0.500
P1 P 0.219 0.781 0.500
```

Here is a crystal of SbAsIr2 relaxed with PBEsol from Alexandria. Energies are from meta-GGA SCAN.

Offset from the most stable computed form ... 229 meV/atom
Formation energy from raw total energies ... 0.577 eV/atom

The structure in CIF format:
```
data_SbAsIr2
_symmetry_space_group_name_H-M 'P m m m'
_symmetry_Int_Tables_number 47
_symmetry_space_group_name_Hall '-P 2 2'
_cell_length_a 2.917
_cell_length_b 4.572
_cell_length_c 5.007
_cell_angle_alpha 90.00
_cell_angle_beta 90.00
_cell_angle_gamma 90.00
loop_
_atom_site_label
_atom_site_type_symbol
_atom_site_fract_x
_atom_site_fract_y
_atom_site_fract_z
Sb1 Sb 0.000 0.000 0.000
As1 As 0.500 0.000 0.500
Ir1 Ir 0.000 0.500 0.500
Ir2 Ir 0.500 0.500 0.000
```

Here is a crystal of V3SnO8 relaxed with PBEsol from Alexandria. Energies are from meta-GGA SCAN.

Formation energy from raw total energies ... -2.350 eV/atom

The structure in CIF format:
```
data_V3SnO8
_symmetry_space_group_name_H-M 'C 1 m 1'
_symmetry_Int_Tables_number 8
_symmetry_space_group_name_Hall 'C -2y'
_cell_length_a 12.218
_cell_length_b 3.780
_cell_length_c 6.477
_cell_angle_alpha 90.00
_cell_angle_beta 106.67
_cell_angle_gamma 90.00
loop_
_atom_site_label
_atom_site_type_symbol
_atom_site_fract_x
_atom_site_fract_y
_atom_site_fract_z
V1 V 0.000 0.000 0.000
V2 V 0.100 0.000 0.570
V3 V 0.294 0.000 0.987
Sn1 Sn 0.399 0.000 0.576
O1 O 0.057 0.000 0.277
O2 O 0.070 0.500 0.575
O3 O 0.141 0.000 0.918
O4 O 0.253 0.000 0.653
O5 O 0.326 0.000 0.261
O6 O 0.334 0.500 0.971
O7 O 0.445 0.500 0.639
O8 O 0.459 0.000 0.936
```

The theoretical density results, record by record, are as follows: 7.05; 16.00; 4.61; 6.13; 14.45; 4.63 g cm⁻³.
The Fermi-level density of states results, record by record, are as follows: 1.8; 3.7; 1.7; 2.6; 2.5; 4.3 states/eV per cell.